A plane-wave DFT calculation with GGA-PBE was carried out for Sm3Er3Au4 after structural relaxation.

The structure in extended XYZ format:
```
10
Lattice="-0.695 3.335 -1.764 -6.985 0.797 4.258 3.922 3.998 6.015" Properties=species:S:1:pos:R:3 pbc="T T T"
Er 1.753 5.131 4.839
Er -3.467 0.410 2.141
Er -4.994 2.800 7.262
Au -0.034 2.837 5.378
Au -2.734 4.149 8.921
Au -0.470 0.605 1.328
Au -2.962 1.977 4.906
Sm -2.343 4.869 5.957
Sm -1.332 3.286 2.565
Sm -5.575 2.980 3.659
```

Values from the calculation:
Formation enthalpy at 0 K: -0.68 eV/atom
Space-group type: Amm2 (38)

A plane-wave DFT calculation with GGA-PBE was carried out for AsClF after structural relaxation.

The structure in extended XYZ format:
```
6
Lattice="4.681 -0.042 -0.204 2.164 5.191 0.042 0.773 1.477 6.990" Properties=species:S:1:pos:R:3 pbc="T T T"
F 3.746 5.851 6.722
F 4.800 3.364 5.305
As 1.843 3.815 5.130
As 5.928 3.928 -0.095
Cl 6.140 5.426 3.515
Cl 1.626 2.319 1.524
```

Values from the calculation:
ΔE_f (raw): -1.18 eV per atom
Space-group type: P-1 (2)

A plane-wave DFT calculation with GGA-PBE was carried out for SrAlMo after structural relaxation.

The structure in extended XYZ format:
```
3
Lattice="-1.655 3.917 -2.610 -3.147 -3.655 1.280 -0.635 1.449 2.578" Properties=species:S:1:pos:R:3 pbc="T T T"
Sr -3.065 -0.181 1.673
Al -0.084 0.192 0.341
Mo -2.287 1.701 -0.766
```

Values from the calculation:
Formation enthalpy at 0 K: 0.69 eV/atom
Space-group type: P3m1 (156)

A plane-wave DFT calculation with GGA-PBE was carried out for PmIn3Ag8 after structural relaxation.

The structure in extended XYZ format:
```
12
Lattice="5.595 0.000 0.000 -2.798 4.846 0.000 0.000 0.000 9.295" Properties=species:S:1:pos:R:3 pbc="T T T"
Ag 0.000 3.231 9.290
Ag -1.421 4.051 2.300
Ag 0.000 1.590 2.300
Ag 1.421 4.051 2.300
Ag 1.418 2.412 6.989
Ag 2.798 0.022 6.989
Ag 0.000 3.231 4.615
Ag 4.177 2.412 6.989
In 2.798 1.615 4.066
In 0.000 0.000 8.698
In 2.798 1.615 0.614
Pm 0.000 0.000 5.268
```

Values from the calculation:
Formation enthalpy at 0 K: -0.09 eV/atom
Space-group type: P3m1 (156)

A plane-wave DFT calculation with GGA-PBE was carried out for CrTe4 after structural relaxation.

The structure in extended XYZ format:
```
5
Lattice="-3.344 3.344 3.344 3.344 -3.344 3.344 3.344 3.344 -3.344" Properties=species:S:1:pos:R:3 pbc="T T T"
Cr 0.000 0.000 0.000
Te 1.672 -1.672 1.672
Te 1.672 1.672 1.672
Te 1.672 1.672 -1.672
Te -1.672 1.672 1.672
```

Values from the calculation:
ΔE_f (raw): 0.21 eV per atom
Space-group type: Im-3m (229)

A plane-wave DFT calculation with GGA-PBE was carried out for RbNa2SrZn after structural relaxation.

The structure in extended XYZ format:
```
5
Lattice="-0.372 6.122 0.193 -3.593 -0.061 -4.974 -5.006 -0.418 3.621" Properties=species:S:1:pos:R:3 pbc="T T T"
Rb -4.485 2.821 -0.580
Na -0.186 3.061 0.097
Na -1.796 -0.031 -2.487
Sr -2.503 -0.209 1.811
Zn 0.000 0.000 0.000
```

Values from the calculation:
Formation enthalpy at 0 K: 0.09 eV/atom
Space-group type: P4/mmm (123)

A plane-wave DFT calculation with GGA-PBE was carried out for AcCd5Hg8 after structural relaxation.

The structure in extended XYZ format:
```
14
Lattice="-1.457 -7.675 0.078 5.834 1.638 4.931 -6.461 3.811 2.184" Properties=species:S:1:pos:R:3 pbc="T T T"
Cd 1.360 0.691 2.160
Cd -6.190 1.193 2.441
Cd -1.807 -2.119 4.565
Cd -3.959 -1.932 1.131
Cd 2.470 -4.218 5.220
Hg -4.522 -0.831 4.008
Hg -1.110 -0.025 6.691
Hg 3.839 0.633 3.903
Hg -1.327 -0.616 1.977
Hg -1.820 -3.983 2.146
Hg 1.154 -2.023 3.552
Hg 1.021 2.384 4.681
Hg -5.570 -4.445 1.815
Ac -2.293 1.758 4.123
```

Values from the calculation:
Formation enthalpy at 0 K: -0.09 eV/atom
Space-group type: I-4 (82)

A plane-wave DFT calculation with GGA-PBE was carried out for Y2MgIr after structural relaxation.

The structure in extended XYZ format:
```
4
Lattice="-1.465 0.445 -3.024 2.080 -2.311 -1.349 -5.552 -6.048 1.800" Properties=species:S:1:pos:R:3 pbc="T T T"
Y -5.395 -5.876 1.749
Y -1.487 -2.888 -1.605
Ir -2.865 -3.121 0.929
Mg -3.519 -5.101 -0.946
```

Values from the calculation:
Formation enthalpy at 0 K: -0.29 eV/atom
Space-group type: P4mm (99)

A plane-wave DFT calculation with GGA-PBE was carried out for PuHfV4 after structural relaxation.

The structure in extended XYZ format:
```
6
Lattice="-4.404 -1.250 -2.442 -2.559 -4.319 1.313 -4.536 0.330 2.498" Properties=species:S:1:pos:R:3 pbc="T T T"
V -7.186 -3.274 0.856
V -4.985 -2.649 2.076
V -5.907 -1.115 0.199
V -4.919 -3.439 -0.393
Hf 0.000 0.000 0.000
Pu -2.875 -1.310 0.342
```

Values from the calculation:
Formation enthalpy at 0 K: 0.18 eV/atom
Space-group type: F-43m (216)

A plane-wave DFT calculation with GGA-PBE was carried out for MoOs2W after structural relaxation.

The structure in extended XYZ format:
```
4
Lattice="5.216 0.009 0.012 2.389 4.637 -0.012 -3.334 -3.090 2.558" Properties=species:S:1:pos:R:3 pbc="T T T"
W 3.764 2.299 0.000
Os 2.712 -0.458 1.285
Os 0.076 0.047 0.000
Mo 1.521 1.991 1.273
```

Values from the calculation:
Formation enthalpy at 0 K: 0.31 eV/atom
Space-group type: Imm2 (44)

A plane-wave DFT calculation with GGA-PBE was carried out for Zn2AgAu6 after structural relaxation.

The structure in extended XYZ format:
```
9
Lattice="-2.719 0.794 -0.923 -0.178 -6.144 -4.759 -2.661 -0.663 7.274" Properties=species:S:1:pos:R:3 pbc="T T T"
Au -1.954 -4.685 1.731
Au -0.058 -1.913 -1.476
Au -2.406 -2.112 0.466
Au -0.828 -0.211 2.260
Au -1.473 -3.482 -3.463
Au -3.040 -0.024 4.128
Zn -1.006 -4.320 -0.751
Zn -1.835 -2.490 3.267
Ag -4.197 -6.405 2.051
```

Values from the calculation:
Formation enthalpy at 0 K: -0.09 eV/atom
Space-group type: Amm2 (38)

A plane-wave DFT calculation with GGA-PBE was carried out for POs2Cl after structural relaxation.

The structure in extended XYZ format:
```
4
Lattice="-0.190 -1.909 2.257 2.580 1.150 -0.893 -0.981 6.225 5.183" Properties=species:S:1:pos:R:3 pbc="T T T"
Cl 0.459 4.289 4.569
Os -0.028 0.178 0.148
Os -0.463 2.935 2.444
P 0.949 1.177 1.978
```

Values from the calculation:
ΔE_f (raw): 0.64 eV per atom
Space-group type: Cmmm (65)

N(E_F) in states/eV per cell, matching the order above: 11.297 0.000 2.372 2.793 3.095 2.483 5.606 4.523 10.239 3.272 3.513 2.771